! PBE Rb2Pr2IrO6, optimized geometry; values from VASP
! Density, g cm⁻³: 5.82
! Formation energy without anion corrections, eV/atom: -1.959
&SYSTEM
  ibrav = 0, nat = 11, ntyp = 4
/
ATOMIC_SPECIES
Rb 85.47 Rb.upf
Pr 140.91 Pr.upf
Ir 192.22 Ir.upf
O 16.00 O.upf
CELL_PARAMETERS angstrom
3.041 -5.198 0.000
3.041 5.198 0.000
-1.724 0.000 6.690
ATOMIC_POSITIONS crystal
Rb 0.159 0.841 0.000
Rb 0.841 0.159 0.000
Pr 0.336 0.664 0.500
Pr 0.664 0.336 0.500
Ir 0.000 0.000 0.500
O 0.044 0.344 0.665
O 0.240 0.240 0.329
O 0.344 0.044 0.665
O 0.656 0.956 0.335
O 0.760 0.760 0.671
O 0.956 0.656 0.335

! PBE Rb2PrIrO4, optimized geometry; values from VASP
! Density, g cm⁻³: 6.05
! Formation energy without anion corrections, eV/atom: -1.570
&SYSTEM
  ibrav = 0, nat = 8, ntyp = 4
/
ATOMIC_SPECIES
Rb 85.47 Rb.upf
Pr 140.91 Pr.upf
Ir 192.22 Ir.upf
O 16.00 O.upf
CELL_PARAMETERS angstrom
-3.237 3.237 3.721
3.237 -3.237 3.721
3.237 3.237 -3.721
ATOMIC_POSITIONS crystal
Rb 0.000 0.000 0.000
Rb 0.750 0.250 0.500
Pr 0.250 0.750 0.500
Ir 0.500 0.500 0.000
O 0.278 0.407 0.593
O 0.314 0.722 0.129
O 0.593 0.185 0.871
O 0.815 0.686 0.407

! PBE Rb2PrIr3O12, optimized geometry; values from VASP
! Density, g cm⁻³: 5.98
! Formation energy without anion corrections, eV/atom: -1.148
&SYSTEM
  ibrav = 0, nat = 18, ntyp = 4
/
ATOMIC_SPECIES
Rb 85.47 Rb.upf
Pr 140.91 Pr.upf
Ir 192.22 Ir.upf
O 16.00 O.upf
CELL_PARAMETERS angstrom
3.675 2.122 6.409
-3.675 2.122 6.409
0.000 -4.244 6.409
ATOMIC_POSITIONS crystal
Rb 0.109 0.109 0.109
Rb 0.891 0.891 0.891
Pr 0.500 0.500 0.500
Ir 0.000 0.500 0.500
Ir 0.500 0.000 0.500
Ir 0.500 0.500 0.000
O 0.124 0.585 0.585
O 0.194 0.194 0.591
O 0.194 0.591 0.194
O 0.409 0.806 0.806
O 0.415 0.415 0.876
O 0.415 0.876 0.415
O 0.585 0.124 0.585
O 0.585 0.585 0.124
O 0.591 0.194 0.194
O 0.806 0.409 0.806
O 0.806 0.806 0.409
O 0.876 0.415 0.415

! PBE RbPr2IrO8, optimized geometry; values from VASP
! Density, g cm⁻³: 6.89
! Formation energy without anion corrections, eV/atom: -1.762
&SYSTEM
  ibrav = 0, nat = 12, ntyp = 4
/
ATOMIC_SPECIES
Rb 85.47 Rb.upf
Pr 140.91 Pr.upf
Ir 192.22 Ir.upf
O 16.00 O.upf
CELL_PARAMETERS angstrom
4.278 0.000 0.000
0.000 5.426 0.000
-2.099 0.000 7.142
ATOMIC_POSITIONS crystal
Rb 0.000 0.000 0.000
Pr 0.370 0.500 0.707
Pr 0.630 0.500 0.293
Ir 0.000 0.000 0.500
O 0.172 0.500 0.997
O 0.190 0.268 0.393
O 0.190 0.732 0.393
O 0.352 0.000 0.722
O 0.648 0.000 0.278
O 0.810 0.268 0.607
O 0.810 0.732 0.607
O 0.828 0.500 0.003

> Which of these has the highest formation energy without anion corrections?

Rb2PrIr3O12